No. 1
Density functional theory data (GGA-PBE) for an optimized crystal structure of SmGdTmGa.

Lattice parameters (Å, degrees): 7.561 7.561 7.561 90.00 90.00 90.00
Space group F-43m (No. 216)
Asymmetric unit:
Sm (0.000, 0.000, 0.000) [4 per cell]
Gd (0.000, 0.000, 0.500) [4 per cell]
Tm (0.250, 0.250, 0.250) [4 per cell]
Ga (0.250, 0.250, 0.750) [4 per cell]

Properties
**Volume**: 108 Å³/f.u.
**Formation energy from the elements**: -11.5 kJ per mole of atoms
**Crystal system**: cubic

***

No. 2
Density functional theory data (GGA-PBE) for an optimized crystal structure of GdGaSn4.

Lattice parameters (Å, degrees): 8.705 8.705 8.705 90.00 90.00 90.00
Space group F-43m (No. 216)
Asymmetric unit:
Gd (0.000, 0.000, 0.000) [4 per cell]
Ga (0.250, 0.250, 0.250) [4 per cell]
Sn (0.125, 0.125, 0.625) [16 per cell]

Properties
**Volume**: 165 Å³/f.u.
**Formation energy from the elements**: -11.2 kJ per mole of atoms
**Crystal system**: cubic

***

no.,DOS at the Fermi energy (states/eV per atom),electronic total energy (eV per atom)
1,1.333,-6.694
2,0.948,-5.636